# 1
An optimized crystal structure of Cd3Au. Source: Alexandria, functional GGA-PBE.

```
Cd3Au
1.0
5.5293 0.0000 0.0000
0.0000 5.5293 0.0000
0.0000 0.0000 5.5293
Cd Au
6 2
Direct
0.0000 0.2500 0.5000 Cd
0.0000 0.7500 0.5000 Cd
0.2500 0.5000 0.0000 Cd
0.5000 0.0000 0.2500 Cd
0.5000 0.0000 0.7500 Cd
0.7500 0.5000 0.0000 Cd
0.0000 0.0000 0.0000 Au
0.5000 0.5000 0.5000 Au
```

# 2
An optimized crystal structure of LaScRu2. Source: Alexandria, functional GGA-PBE.

```
LaScRu2
1.0
3.0888 0.0000 0.0000
-1.5444 2.6750 0.0000
0.0000 0.0000 29.5515
La Sc Ru
3 3 6
Direct
0.0000 0.0000 0.0000 La
0.3333 0.6667 0.6667 La
0.6667 0.3333 0.3333 La
0.0000 0.0000 0.7781 Sc
0.3333 0.6667 0.4448 Sc
0.6667 0.3333 0.1114 Sc
0.0000 0.0000 0.2470 Ru
0.0000 0.0000 0.5143 Ru
0.3333 0.6667 0.1810 Ru
0.3333 0.6667 0.9137 Ru
0.6667 0.3333 0.5803 Ru
0.6667 0.3333 0.8477 Ru
```

# 3
An optimized crystal structure of AcCeNdTh. Source: Alexandria, functional GGA-PBE.

```
AcCeNdTh
1.0
8.2511 0.0000 0.0000
0.0000 8.2511 0.0000
0.0000 0.0000 8.2511
Ac Ce Nd Th
4 4 4 4
Direct
0.0000 0.0000 0.0000 Ac
0.0000 0.5000 0.5000 Ac
0.5000 0.0000 0.5000 Ac
0.5000 0.5000 0.0000 Ac
0.2500 0.2500 0.2500 Ce
0.2500 0.7500 0.7500 Ce
0.7500 0.2500 0.7500 Ce
0.7500 0.7500 0.2500 Ce
0.2500 0.2500 0.7500 Nd
0.2500 0.7500 0.2500 Nd
0.7500 0.2500 0.2500 Nd
0.7500 0.7500 0.7500 Nd
0.0000 0.0000 0.5000 Th
0.0000 0.5000 0.0000 Th
0.5000 0.0000 0.0000 Th
0.5000 0.5000 0.5000 Th
```

Energy relative to the elements list, top to bottom, in eV/atom: -0.08 0.44 0.26
Ρ list, top to bottom, in Mg/m³: 10.494 7.875 8.790
Raw total energy list, top to bottom, in Ry per atom: -0.117 -0.515 -0.389